# 1
Compound: ZnHPd2Pb
Source: Alexandria
Functional: PBE
Structure: relaxed

Energy above the lowest structure with this stoichiometry (eV/atom): 0.0000
N(E_F) (states/eV/f.u.): 2.20

Unit cell a=4.2464 b=4.2464 c=4.0843 alpha=90.00 beta=90.00 gamma=90.00
Atoms (fractional coordinates):
1 Pb 0.5000 0.5000 0.5000
2 H 0.0000 0.0000 0.0000
3 Zn 0.0000 0.0000 0.5000
4 Pd 0.0000 0.5000 0.0000
5 Pd 0.5000 0.0000 0.0000



# 2
Compound: Ac4RuBr5
Source: Alexandria
Functional: PBE
Structure: relaxed

Energy above the lowest structure with this stoichiometry (eV/atom): 0.0000
N(E_F) (states/eV/f.u.): 5.59
Energy relative to the elements, uncorrected (eV/f.u.): -14.2

Unit cell a=4.3613 b=9.3597 c=10.2779 alpha=105.95 beta=102.25 gamma=90.00
Atoms (fractional coordinates):
1 Ac 0.3502 0.8987 0.7004
2 Ac 0.0019 0.7831 0.0037
3 Ac 0.6498 0.1013 0.2996
4 Ac 0.9981 0.2169 0.9963
5 Ru 0.5000 0.0000 0.0000
6 Br 0.8331 0.6438 0.6662
7 Br 0.8248 0.1376 0.6497
8 Br 0.1752 0.8624 0.3503
9 Br 0.5000 0.5000 0.0000
10 Br 0.1669 0.3562 0.3338



# 3
Compound: SbOs2Au
Source: Alexandria
Functional: PBE
Structure: relaxed

N(E_F) (states/eV/f.u.): 3.99
Energy relative to the elements, uncorrected (eV/f.u.): 3.0

Unit cell a=8.7559 b=8.7559 c=8.7559 alpha=19.93 beta=19.93 gamma=19.93
Atoms (fractional coordinates):
1 Au 0.7500 0.7500 0.7500
2 Os 0.9954 0.9954 0.9954
3 Os 0.5046 0.5046 0.5046
4 Sb 0.2500 0.2500 0.2500



# 4
Compound: KIrW2
Source: Alexandria
Functional: PBE
Structure: relaxed

Energy above the lowest structure with this stoichiometry (eV/atom): 1.0099
Energy of formation from the pure elements (meV/atom): 1664
N(E_F) (states/eV/f.u.): 4.57

Unit cell a=5.4123 b=5.4123 c=5.4123 alpha=137.37 beta=137.37 gamma=61.87
Atoms (fractional coordinates):
1 Ir 0.2500 0.7500 0.5000
2 K 0.7500 0.2500 0.5000
3 W 0.0000 0.0000 0.0000
4 W 0.5000 0.5000 0.0000



# 5
Compound: LiZr2PbN
Source: Alexandria
Functional: PBE
Structure: relaxed

N(E_F) (states/eV/f.u.): 2.77
Energy relative to the elements, uncorrected (eV/f.u.): -3.7

Unit cell a=4.4991 b=4.4991 c=4.3473 alpha=90.00 beta=90.00 gamma=90.00
Atoms (fractional coordinates):
1 Pb 0.5000 0.5000 0.5000
2 Li 0.0000 0.0000 0.5000
3 Zr 0.0000 0.5000 0.0000
4 Zr 0.5000 0.0000 0.0000
5 N 0.0000 0.0000 0.0000



# 6
Compound: Cs3RbAu4
Source: Alexandria
Functional: PBE
Structure: relaxed

Energy above the lowest structure with this stoichiometry (eV/atom): 0.0000
Energy of formation from the pure elements (meV/atom): -310

Unit cell a=4.3138 b=6.1137 c=12.1908 alpha=90.00 beta=90.00 gamma=90.00
Atoms (fractional coordinates):
1 Cs 0.5000 0.0000 0.2479
2 Cs 0.5000 0.5000 0.5000
3 Cs 0.5000 0.0000 0.7521
4 Au 0.0000 0.0000 0.5000
5 Au 0.0000 0.5000 0.7581
6 Au 0.0000 0.0000 0.0000
7 Au 0.0000 0.5000 0.2419
8 Rb 0.5000 0.5000 0.0000